# 1
# Re2MoP PBE optimized geometry
data_Re2MoP
_chemical_formula_sum 'Re2 Mo1 P1'
_cell_length_a 2.881
_cell_length_b 4.002
_cell_length_c 5.079
_cell_angle_alpha 90.00
_cell_angle_beta 90.00
_cell_angle_gamma 90.00
_space_group_name_H-M_alt 'P m m 2'
_space_group_IT_number 25
_space_group_name_Hall 'P 2 -2'
loop_
_atom_site_label
_atom_site_fract_x
_atom_site_fract_y
_atom_site_fract_z
_atom_site_occupancy
Re1 0.000 0.000 0.000 1
Re2 0.500 0.500 0.218 1
Mo1 0.000 0.000 0.518 1
P1 0.500 0.500 0.730 1
# ΔH_f (0 K): 0.11 eV/atom
# Volume: 14.64 Å³ per atom

# 2
# Ba2YbRuO6 PBE optimized geometry
data_Ba2YbRuO6
_chemical_formula_sum 'Ba8 Yb4 Ru4 O24'
_cell_length_a 8.427
_cell_length_b 8.427
_cell_length_c 8.427
_cell_angle_alpha 90.00
_cell_angle_beta 90.00
_cell_angle_gamma 90.00
_space_group_name_H-M_alt 'F m -3 m'
_space_group_IT_number 225
_space_group_name_Hall '-F 4 2 3'
loop_
_atom_site_label
_atom_site_fract_x
_atom_site_fract_y
_atom_site_fract_z
_atom_site_occupancy
Ba1 0.250 0.250 0.250 1
Yb1 0.000 0.000 0.000 1
Ru1 0.000 0.000 0.500 1
O1 0.000 0.000 0.267 1
# Formation energy without anion corrections: -2.250 eV per atom
# Volume: 14.96 Å³ per atom

# 3
# La12H5Pb3 PBE optimized geometry
data_La12H5Pb3
_chemical_formula_sum 'La96 H40 Pb24'
_cell_length_a 16.611
_cell_length_b 16.611
_cell_length_c 16.611
_cell_angle_alpha 90.00
_cell_angle_beta 90.00
_cell_angle_gamma 90.00
_space_group_name_H-M_alt 'I a -3 d'
_space_group_IT_number 230
_space_group_name_Hall '-I 4bd 2c 3'
loop_
_atom_site_label
_atom_site_fract_x
_atom_site_fract_y
_atom_site_fract_z
_atom_site_occupancy
La1 0.041 0.056 0.650 1
H1 0.000 0.000 0.000 1
H2 0.000 0.250 0.375 1
Pb1 0.000 0.250 0.125 1
# DFT total energy: -4.65 eV per atom
# Volume: 28.64 Å³ per atom

# 4
# LiTa3Al PBE optimized geometry
data_LiTa3Al
_chemical_formula_sum 'Li1 Ta3 Al1'
_cell_length_a 4.405
_cell_length_b 4.405
_cell_length_c 4.405
_cell_angle_alpha 90.00
_cell_angle_beta 90.00
_cell_angle_gamma 90.00
_space_group_name_H-M_alt 'P m -3 m'
_space_group_IT_number 221
_space_group_name_Hall '-P 4 2 3'
loop_
_atom_site_label
_atom_site_fract_x
_atom_site_fract_y
_atom_site_fract_z
_atom_site_occupancy
Li1 0.000 0.000 0.000 1
Ta1 0.000 0.000 0.500 1
Al1 0.500 0.500 0.500 1
# Excess energy over the best structure of this formula in the dataset: 0.000 eV/f.u.
# ΔH_f (0 K): 0.93 eV/atom
# Volume: 17.10 Å³ per atom

# 5
# ZrSb5 PBE optimized geometry
data_ZrSb5
_chemical_formula_sum 'Zr1 Sb5'
_cell_length_a 5.6619
_cell_length_b 5.6619
_cell_length_c 5.5254
_cell_angle_alpha 90.00
_cell_angle_beta 90.00
_cell_angle_gamma 120.00
_space_group_name_H-M_alt 'P -6 2 m'
_space_group_IT_number 189
_space_group_name_Hall 'P -6 -2'
loop_
_atom_site_label
_atom_site_fract_x
_atom_site_fract_y
_atom_site_fract_z
_atom_site_occupancy
Zr1 0.0000 0.0000 0.0000 1
Sb1 0.0000 0.6900 0.5000 1
Sb2 0.3333 0.6667 0.0000 1
# Formation energy without anion corrections: -0.034 eV per atom
# Excess energy over the best structure of this formula in the dataset: 0.256 eV/f.u.
# Volume: 25.57 Å³ per atom

# 6
# PrGe6Pt12 PBE optimized geometry
data_PrGe6Pt12
_chemical_formula_sum 'Pr3 Ge18 Pt36'
_cell_length_a 11.6706
_cell_length_b 11.6706
_cell_length_c 8.4970
_cell_angle_alpha 90.00
_cell_angle_beta 90.00
_cell_angle_gamma 120.00
_space_group_name_H-M_alt 'R -3 m'
_space_group_IT_number 166
_space_group_name_Hall '-R 3 2"'
loop_
_atom_site_label
_atom_site_fract_x
_atom_site_fract_y
_atom_site_fract_z
_atom_site_occupancy
Pr1 0.0000 0.0000 0.0000 1
Ge1 0.0494 0.5247 0.2619 1
Pt1 0.0000 0.3752 0.5000 1
Pt2 0.0800 0.1600 0.3136 1
# ΔH_f (0 K): -0.42 eV/atom
# Volume: 17.58 Å³ per atom

Among the records above, which one has the highest volume? La12H5Pb3